A plane-wave DFT calculation with PBE with a Hubbard U was carried out for a geometry-optimized Zn3WF structure.

Calculated values
The value obtained for the magnetic moment is 1.000 μB per formula unit. Its symmetry is Pm-3m. For the energy relative to the lowest polymorph listed for this composition, the calculation gives 0.0 kJ/mol of formula units.

a = 4.2422 Å, b = 4.2422 Å, c = 4.2422 Å
α = 90.00°, β = 90.00°, γ = 90.00°
Closest atoms and distances in Å follow each position.
Element x y z (fractional)
Zn 0.0000 0.0000 0.5000  2 F 2.12
Zn 0.0000 0.5000 0.0000  2 F 2.12
Zn 0.5000 0.0000 0.0000  2 F 2.12
W 0.5000 0.5000 0.5000  12 Zn 3.00
F 0.0000 0.0000 0.0000  6 Zn 2.12